(1)
CeNpPS PBE-GGA optimized geometry; SG = R3m, No. 160; calculated total energy = -8.574 eV/atom; density of states at the Fermi level = 10.272 states/eV/cell; M_tot = 4.8 μB/f.u.; crystal system = trigonal
1.0
4.021 0.000 0.000
2.010 3.482 0.000
2.010 1.161 6.480
P Np S Ce
1 1 1 1
Direct
0.941 0.941 0.178
0.194 0.194 0.418
0.448 0.448 0.656
0.694 0.694 0.919

(2)
CeNp2ScP4 PBE-GGA optimized geometry; SG = P2/m, No. 10; calculated formation energy = -1.134 eV/atom; density of states at the Fermi level = 22.294 states/eV/cell; M_tot = 0.1 μB/f.u.; crystal system = monoclinic
1.0
-3.798 -0.979 -0.352
1.794 -6.464 -1.371
-0.817 0.750 6.728
P Sc Np Ce
4 1 2 1
Direct
0.000 0.260 0.753
0.000 0.740 0.247
0.500 0.261 0.252
0.500 0.739 0.748
0.500 0.500 0.000
0.500 0.000 0.500
0.000 0.500 0.500
0.000 0.000 0.000

(3)
CeNpSc2P4 PBE-GGA optimized geometry; SG = P2/m, No. 10; calculated formation energy = -1.324 eV/atom; density of states at the Fermi level = 11.455 states/eV/cell; M_tot = 4.1 μB/f.u.; crystal system = monoclinic
1.0
-2.417 -2.234 2.087
4.427 -5.095 -0.328
1.256 3.729 5.446
Ce P Sc Np
1 4 2 1
Direct
0.000 0.000 0.000
0.000 0.750 0.264
0.500 0.260 0.266
0.000 0.250 0.736
0.500 0.740 0.734
0.500 0.000 0.500
0.000 0.500 0.500
0.500 0.500 0.000

(4)
CeNpPSe PBE-GGA optimized geometry; SG = R3m, No. 160; calculated total energy = -8.297 eV/atom; density of states at the Fermi level = 10.582 states/eV/cell; M_tot = 5.1 μB/f.u.; crystal system = trigonal
1.0
4.098 0.000 0.000
2.049 3.549 0.000
2.049 1.183 6.691
Ce P Np Se
1 1 1 1
Direct
0.995 0.995 0.016
0.247 0.247 0.259
0.505 0.505 0.485
0.753 0.753 0.741